No. 1
# PBE-GGA SmDyGeRh, relaxed
data_SmDyGeRh
_chemical_formula_sum 'Sm2 Dy2 Ge2 Rh2'
_symmetry_space_group_name_H-M 'A m m 2'
_symmetry_Int_Tables_number 38
_cell_length_a 4.170
_cell_length_b 4.131
_cell_length_c 10.644
_cell_angle_alpha 90.00
_cell_angle_beta 90.00
_cell_angle_gamma 90.00
loop_
_symmetry_equiv_pos_as_xyz
'x,y,z'
'-x,-y,z'
'-x,y,z'
'x,-y,z'
'x,y+1/2,z+1/2'
'-x,-y+1/2,z+1/2'
'-x,y+1/2,z+1/2'
'x,-y+1/2,z+1/2'
loop_
_atom_site_label
_atom_site_type_symbol
_atom_site_fract_x
_atom_site_fract_y
_atom_site_fract_z
Sm1 Sm 0.000 0.000 0.000
Dy1 Dy 0.500 0.000 0.719
Ge1 Ge 0.500 0.000 0.429
Rh1 Rh 0.000 0.000 0.276
# Distance to the lowest polymorph of the same formula, meV per atom: 0

=====

No. 2
# PBE-GGA AlC2, relaxed
data_AlC2
_chemical_formula_sum 'Al3 C6'
_symmetry_space_group_name_H-M 'R -3 m'
_symmetry_Int_Tables_number 166
_symmetry_space_group_name_Hall '-R 3 2"'
_cell_length_a 3.0787
_cell_length_b 3.0787
_cell_length_c 11.3129
_cell_angle_alpha 90.00
_cell_angle_beta 90.00
_cell_angle_gamma 120.00
loop_
_atom_site_label
_atom_site_type_symbol
_atom_site_fract_x
_atom_site_fract_y
_atom_site_fract_z
Al1 Al 0.0000 0.0000 0.0000
C1 C 0.0000 0.0000 0.4428
# Distance to the lowest polymorph of the same formula, meV per atom: 292

=====

No. 3
# PBE-GGA PuSnPdO6, relaxed
data_PuSnPdO6
_chemical_formula_sum 'Pu2 Sn2 Pd2 O12'
_symmetry_space_group_name_H-M 'P -3 1 c'
_symmetry_Int_Tables_number 163
_symmetry_space_group_name_Hall '-P 3 2c'
_cell_length_a 5.4772
_cell_length_b 5.4772
_cell_length_c 9.2676
_cell_angle_alpha 90.00
_cell_angle_beta 90.00
_cell_angle_gamma 120.00
loop_
_atom_site_label
_atom_site_type_symbol
_atom_site_fract_x
_atom_site_fract_y
_atom_site_fract_z
Pu1 Pu 0.3333 0.6667 0.2500
Sn1 Sn 0.3333 0.6667 0.7500
Pd1 Pd 0.0000 0.0000 0.0000
O1 O 0.0032 0.3498 0.1310
# Formation energy (no corrections), meV per atom: -1488

=====

Total moment? In order: 0.00 0.00 0.11 μB per formula unit.